Entry 1:
SrSeCl2 after structural relaxation. Source: the Alexandria database, functional PBE.

The energy relative to the elements, uncorrected is -1.33 eV per atom. As for the space group: P4mm, No. 99. The energy above the most stable polymorph in this dataset is 160 meV/atom.

Cell lengths 4.709, 4.709, 5.676 Å; angles 90.00, 90.00, 90.00 degrees
Sites, in units of the cell vectors:
Sr 0.500 0.500 0.689
Se 0.000 0.000 0.610
Cl 0.000 0.000 0.003
Cl 0.500 0.500 0.199



Entry 2:
HoNiAs after structural relaxation. Source: the Alexandria database, functional PBE.

Its energy of formation from the pure elements is -3.174 eV per formula unit. As for the space group: P6_3/mmc, No. 194.

Cell lengths 4.061, 4.061, 15.229 Å; angles 90.00, 90.00, 120.00 degrees
Sites, in units of the cell vectors:
Ni 0.667 0.333 0.634
Ni 0.333 0.667 0.134
Ni 0.333 0.667 0.366
Ni 0.667 0.333 0.866
As 0.667 0.333 0.120
As 0.333 0.667 0.620
As 0.333 0.667 0.880
As 0.667 0.333 0.380
Ho 0.000 0.000 0.000
Ho 0.000 0.000 0.500
Ho 0.000 0.000 0.750
Ho 0.000 0.000 0.250



Entry 3:
MgScOs2 after structural relaxation. Source: the Alexandria database, functional PBE.

Its energy of formation from the pure elements is 0.359 eV per formula unit. As for the space group: F-43m, No. 216.

Cell lengths 4.500, 4.500, 4.500 Å; angles 60.00, 60.00, 60.00 degrees
Sites, in units of the cell vectors:
Mg 0.500 0.500 0.500
Os 0.000 0.000 0.000
Os 0.250 0.250 0.250
Sc 0.750 0.750 0.750



Entry 4:
Pu2Be4Pt5 after structural relaxation. Source: the Alexandria database, functional PBE.

Its energy of formation from the pure elements is -7.883 eV per formula unit. As for the space group: Fmmm, No. 69.

Cell lengths 5.538, 5.502, 7.209 Å; angles 78.85, 67.41, 59.78 degrees
Sites, in units of the cell vectors:
Pu 0.869 0.000 0.262
Pu 0.131 0.000 0.738
Be 0.476 0.309 0.738
Be 0.524 0.691 0.262
Be 0.214 0.309 0.262
Be 0.786 0.691 0.738
Pt 0.500 0.000 0.000
Pt 0.000 0.500 0.000
Pt 0.500 0.500 0.000
Pt 0.250 0.500 0.500
Pt 0.750 0.500 0.500



Entry 5:
Er2VTe after structural relaxation. Source: the Alexandria database, functional PBE.

The energy relative to the elements, uncorrected is 0.31 eV per atom. As for the space group: R-3m, No. 166.

Cell lengths 3.681, 3.681, 10.123 Å; angles 79.52, 79.52, 60.00 degrees
Sites, in units of the cell vectors:
V 0.000 0.000 0.000
Te 0.500 0.500 0.500
Er 0.095 0.095 0.716
Er 0.905 0.905 0.284



Entry 6:
CrSi2W after structural relaxation. Source: the Alexandria database, functional PBE.

The energy relative to the elements, uncorrected is 0.08 eV per atom. As for the space group: Pmmm, No. 47. The energy above the most stable polymorph in this dataset is 338 meV/atom.

Cell lengths 3.368, 4.327, 3.731 Å; angles 90.00, 90.00, 90.00 degrees
Sites, in units of the cell vectors:
Cr 0.000 0.500 0.500
Si 0.000 0.000 0.000
Si 0.500 0.500 0.000
W 0.500 0.000 0.500



Entry 7:
TiFeS2 after structural relaxation. Source: the Alexandria database, functional PBE.

The energy relative to the elements, uncorrected is -0.63 eV per atom. As for the space group: R-3m, No. 166. The energy above the most stable polymorph in this dataset is 19 meV/atom.

Cell lengths 7.687, 7.687, 7.687 Å; angles 24.90, 24.90, 24.90 degrees
Sites, in units of the cell vectors:
S 0.900 0.900 0.900
S 0.100 0.100 0.100
Fe 0.000 0.000 0.000
Ti 0.500 0.500 0.500



Entry 8:
ZnMo after structural relaxation. Source: the Alexandria database, functional PBE.

Its energy of formation from the pure elements is 0.706 eV per formula unit. As for the space group: P6_3/m, No. 176. The energy above the most stable polymorph in this dataset is 291 meV/atom.

Cell lengths 9.351, 9.351, 2.587 Å; angles 90.00, 90.00, 120.00 degrees
Sites, in units of the cell vectors:
Zn 0.772 0.049 0.250
Zn 0.723 0.772 0.750
Zn 0.951 0.723 0.250
Zn 0.228 0.951 0.750
Zn 0.277 0.228 0.250
Zn 0.049 0.277 0.750
Mo 0.851 0.382 0.250
Mo 0.469 0.851 0.750
Mo 0.618 0.469 0.250
Mo 0.149 0.618 0.750
Mo 0.531 0.149 0.250
Mo 0.382 0.531 0.750



Entry 9:
La4CuRhI2 after structural relaxation. Source: the Alexandria database, functional PBE.

The energy relative to the elements, uncorrected is -0.80 eV per atom. As for the space group: P2/m, No. 10.

Cell lengths 4.330, 7.364, 8.587 Å; angles 106.80, 90.00, 90.00 degrees
Sites, in units of the cell vectors:
La 0.500 0.227 0.188
La 0.500 0.773 0.812
La 0.000 0.258 0.811
La 0.000 0.742 0.189
Cu 0.500 0.500 0.000
Rh 0.000 0.000 0.000
I 0.500 0.000 0.500
I 0.000 0.500 0.500



Entry 10:
Pm2Tm2AlGa4 after structural relaxation. Source: the Alexandria database, functional PBE.

Its energy of formation from the pure elements is -1.856 eV per formula unit. As for the space group: I4/mmm, No. 139.

Cell lengths 6.682, 6.682, 6.682 Å; angles 95.62, 116.81, 116.81 degrees
Sites, in units of the cell vectors:
Pm 0.000 0.691 0.691
Pm 0.000 0.309 0.309
Tm 0.500 0.750 0.250
Tm 0.500 0.250 0.750
Al 0.000 0.000 0.000
Ga 0.000 0.752 0.248
Ga 0.503 0.752 0.752
Ga 0.000 0.248 0.752
Ga 0.497 0.248 0.248



Entry 11:
SrCaTlCd after structural relaxation. Source: the Alexandria database, functional PBE.

Its energy of formation from the pure elements is -1.555 eV per formula unit. As for the space group: F-43m, No. 216.

Cell lengths 5.619, 5.619, 5.619 Å; angles 60.00, 60.00, 60.00 degrees
Sites, in units of the cell vectors:
Sr 0.000 0.000 0.000
Tl 0.250 0.250 0.250
Ca 0.500 0.500 0.500
Cd 0.750 0.750 0.750



Entry 12:
BaB3S after structural relaxation. Source: the Alexandria database, functional PBE.

The energy relative to the elements, uncorrected is 3.00 eV per atom. As for the space group: Pm-3m, No. 221. The energy above the most stable polymorph in this dataset is 1487 meV/atom.

Cell lengths 5.208, 5.208, 5.208 Å; angles 90.00, 90.00, 90.00 degrees
Sites, in units of the cell vectors:
S 0.500 0.500 0.500
B 0.000 0.500 0.000
B 0.000 0.000 0.500
B 0.500 0.000 0.000
Ba 0.000 0.000 0.000



Calculated volume (Å³ per atom)
31.5 18.1 16.1 15.9 29.0 13.6 17.7 16.3 32.8 24.4 31.4 28.2
VASP energy (eV/atom)
-3.5427 -6.0610 -7.5067 -7.4233 -5.0389 -8.2803 -6.7794 -5.6994 -5.0864 -4.0167 -2.1299 -2.2195